# K10Zr3MnMo12O48 (PBE+U, relaxed)
data_K10Zr3MnMo12O48
_chemical_formula_sum 'K10 Zr3 Mn1 Mo12 O48'
_cell_length_a 14.302
_cell_length_b 14.302
_cell_length_c 14.302
_cell_angle_alpha 44.57
_cell_angle_beta 44.57
_cell_angle_gamma 44.57
_symmetry_space_group_name_H-M 'P 1'
_symmetry_Int_Tables_number 1
loop_
_symmetry_equiv_pos_as_xyz
'x,y,z'
loop_
_atom_site_label
_atom_site_fract_x
_atom_site_fract_y
_atom_site_fract_z
_atom_site_occupancy
K1 0.000 0.000 0.000 1
K2 0.098 0.467 0.731 1
K3 0.197 0.197 0.197 1
K4 0.206 0.992 0.598 1
K5 0.467 0.731 0.098 1
K6 0.490 0.490 0.490 1
K7 0.598 0.206 0.992 1
K8 0.707 0.707 0.707 1
K9 0.731 0.098 0.467 1
K10 0.992 0.598 0.206 1
Zr1 0.351 0.351 0.351 1
Zr2 0.599 0.599 0.599 1
Zr3 0.847 0.847 0.847 1
Mn1 0.099 0.099 0.099 1
Mo1 0.082 0.734 0.328 1
Mo2 0.115 0.870 0.464 1
Mo3 0.228 0.591 0.822 1
Mo4 0.328 0.082 0.734 1
Mo5 0.376 0.607 0.969 1
Mo6 0.464 0.115 0.870 1
Mo7 0.591 0.822 0.228 1
Mo8 0.607 0.969 0.376 1
Mo9 0.734 0.328 0.082 1
Mo10 0.822 0.228 0.591 1
Mo11 0.870 0.464 0.115 1
Mo12 0.969 0.376 0.607 1
O1 0.023 0.319 0.053 1
O2 0.053 0.023 0.319 1
O3 0.053 0.752 0.841 1
O4 0.144 0.356 0.446 1
O5 0.145 0.878 0.174 1
O6 0.174 0.145 0.878 1
O7 0.205 0.730 0.957 1
O8 0.205 0.914 0.461 1
O9 0.232 0.509 0.769 1
O10 0.238 0.706 0.438 1
O11 0.241 0.467 0.992 1
O12 0.243 0.552 0.349 1
O13 0.284 0.992 0.736 1
O14 0.319 0.053 0.023 1
O15 0.349 0.243 0.552 1
O16 0.356 0.446 0.144 1
O17 0.384 0.646 0.674 1
O18 0.428 0.688 0.966 1
O19 0.438 0.238 0.706 1
O20 0.446 0.144 0.356 1
O21 0.461 0.205 0.914 1
O22 0.467 0.992 0.241 1
O23 0.492 0.959 0.759 1
O24 0.509 0.769 0.232 1
O25 0.524 0.552 0.814 1
O26 0.552 0.349 0.243 1
O27 0.552 0.814 0.524 1
O28 0.645 0.954 0.849 1
O29 0.646 0.674 0.384 1
O30 0.674 0.384 0.646 1
O31 0.688 0.966 0.428 1
O32 0.706 0.438 0.238 1
O33 0.730 0.957 0.205 1
O34 0.736 0.284 0.992 1
O35 0.752 0.841 0.053 1
O36 0.759 0.492 0.959 1
O37 0.769 0.232 0.509 1
O38 0.814 0.524 0.552 1
O39 0.841 0.053 0.752 1
O40 0.849 0.645 0.954 1
O41 0.878 0.174 0.145 1
O42 0.914 0.461 0.205 1
O43 0.954 0.849 0.645 1
O44 0.957 0.205 0.730 1
O45 0.959 0.759 0.492 1
O46 0.966 0.428 0.688 1
O47 0.992 0.241 0.467 1
O48 0.992 0.736 0.284 1
# **Energy**: -513.1 eV/cell